DFT (PBE-GGA) results for an optimized crystal structure of MnIn2CuTe4.

Output
- Crystal system: tetragonal
- Raw formation energy: -201 meV/atom
- Space-group type: I-42m, No. 121

abc: 7.827 7.827 7.827
angles: 131.28 131.28 71.37
Element x y z (fractional)
Mn1 0.000 0.000 0.000
In1 0.250 0.750 0.500
In2 0.750 0.250 0.500
Cu1 0.500 0.500 0.000
Te1 0.148 0.148 0.510
Te2 0.362 0.852 0.000
Te3 0.638 0.638 0.490
Te4 0.852 0.362 0.000

=====

DFT (PBE-GGA) results for an optimized crystal structure of TiMnIn2Cu.

Output
- Crystal system: tetragonal
- Calculated formation energy: 0.78 eV per atom
- Space-group type: P4/mmm, No. 123

abc: 4.940 4.940 4.508
angles: 90.00 90.00 90.00
Element x y z (fractional)
Ti1 0.000 0.000 0.000
Mn1 0.500 0.500 0.500
In1 0.000 0.500 0.500
In2 0.500 0.000 0.500
Cu1 0.500 0.500 0.000

=====

DFT (PBE-GGA) results for an optimized crystal structure of MnZnIn2Cu.

Output
- Crystal system: tetragonal
- Calculated formation energy: 0.69 eV per atom
- Space-group type: P4/mmm, No. 123

abc: 5.094 5.094 4.563
angles: 90.00 90.00 90.00
Element x y z (fractional)
Mn1 0.000 0.000 0.000
Zn1 0.500 0.500 0.500
In1 0.000 0.500 0.500
In2 0.500 0.000 0.500
Cu1 0.500 0.500 0.000

=====

DFT (PBE-GGA) results for an optimized crystal structure of InCu2Mo.

Output
- Crystal system: monoclinic
- Calculated formation energy: 0.29 eV per atom
- Space-group type: Pm, No. 6

abc: 2.775 4.200 5.428
angles: 90.00 104.66 90.00
Element x y z (fractional)
In1 0.000 0.000 0.000
Cu1 0.258 0.000 0.515
Cu2 0.384 0.500 0.771
Mo1 0.657 0.500 0.313

=====

DFT (PBE-GGA) results for an optimized crystal structure of InCuMo2.

Output
- Crystal system: cubic
- Calculated formation energy: 0.60 eV per atom
- Offset from the most stable computed form: 0.386 eV/atom
- Space-group type: Fm-3m, No. 225

abc: 4.507 4.507 4.507
angles: 60.00 60.00 60.00
Element x y z (fractional)
In1 0.000 0.000 0.000
Cu1 0.500 0.500 0.500
Mo1 0.250 0.250 0.250
Mo2 0.750 0.750 0.750

=====

DFT (PBE-GGA) results for an optimized crystal structure of InCuMo2.

Output
- Crystal system: tetragonal
- Calculated formation energy: 0.36 eV per atom
- Offset from the most stable computed form: 0.150 eV/atom
- Space-group type: P4mm, No. 99

abc: 2.763 2.763 8.573
angles: 90.00 90.00 90.00
Element x y z (fractional)
In1 0.000 0.000 0.000
Cu1 0.500 0.500 0.754
Mo1 0.000 0.000 0.531
Mo2 0.500 0.500 0.270

=====

DFT (PBE-GGA) results for an optimized crystal structure of In2CuMo.

Output
- Crystal system: monoclinic
- Calculated formation energy: 0.38 eV per atom
- Offset from the most stable computed form: 0.118 eV/atom
- Space-group type: P2/m, No. 10

abc: 2.922 4.375 5.792
angles: 90.00 96.34 90.00
Element x y z (fractional)
In1 0.078 0.000 0.247
In2 0.922 0.000 0.753
Cu1 0.000 0.500 0.500
Mo1 0.500 0.500 0.000

=====

DFT (PBE-GGA) results for an optimized crystal structure of InCu4Mo.

Output
- Crystal system: cubic
- Calculated formation energy: 0.24 eV per atom
- Space-group type: F-43m, No. 216

abc: 4.943 4.943 4.943
angles: 60.00 60.00 60.00
Element x y z (fractional)
In1 0.000 0.000 0.000
Cu1 0.127 0.624 0.624
Cu2 0.624 0.127 0.624
Cu3 0.624 0.624 0.127
Cu4 0.624 0.624 0.624
Mo1 0.250 0.250 0.250

=====

DFT (PBE-GGA) results for an optimized crystal structure of InCu2Mo.

Output
- Crystal system: orthorhombic
- Calculated formation energy: 0.33 eV per atom
- Space-group type: Cmmm, No. 65

abc: 4.923 4.923 2.716
angles: 90.00 90.00 110.26
Element x y z (fractional)
In1 0.000 0.000 0.000
Cu1 0.000 0.500 0.500
Cu2 0.500 0.000 0.500
Mo1 0.500 0.500 0.000

=====

DFT (PBE-GGA) results for an optimized crystal structure of InCuMo2.

Output
- Crystal system: tetragonal
- Calculated formation energy: 0.81 eV per atom
- Offset from the most stable computed form: 0.600 eV/atom
- Space-group type: I-42d, No. 122

abc: 5.800 5.800 5.800
angles: 101.48 101.48 127.01
Element x y z (fractional)
In1 0.000 0.000 0.000
In2 0.750 0.250 0.500
Cu1 0.250 0.750 0.500
Cu2 0.500 0.500 0.000
Mo1 0.155 0.625 0.030
Mo2 0.375 0.405 0.530
Mo3 0.595 0.125 0.970
Mo4 0.875 0.845 0.470

=====

DFT (PBE-GGA) results for an optimized crystal structure of In2CuMo.

Output
- Crystal system: cubic
- Calculated formation energy: 0.63 eV per atom
- Offset from the most stable computed form: 0.365 eV/atom
- Space-group type: F-43m, No. 216

abc: 4.725 4.725 4.725
angles: 60.00 60.00 60.00
Element x y z (fractional)
In1 0.000 0.000 0.000
In2 0.250 0.250 0.250
Cu1 0.500 0.500 0.500
Mo1 0.750 0.750 0.750

=====

DFT (PBE-GGA) results for an optimized crystal structure of InCuMo2.

Output
- Crystal system: monoclinic
- Calculated formation energy: 0.34 eV per atom
- Offset from the most stable computed form: 0.127 eV/atom
- Space-group type: Cm, No. 8

abc: 4.862 4.862 5.134
angles: 96.00 96.00 32.92
Element x y z (fractional)
In1 0.000 0.000 0.000
Cu1 0.749 0.749 0.223
Mo1 0.247 0.247 0.701
Mo2 0.488 0.488 0.492

=====

DFT (PBE-GGA) results for an optimized crystal structure of InCuMo2.

Output
- Crystal system: tetragonal
- Calculated formation energy: 0.27 eV per atom
- Offset from the most stable computed form: 0.060 eV/atom
- Space-group type: I4/mmm, No. 139

abc: 5.202 5.202 5.202
angles: 137.04 137.04 62.37
Element x y z (fractional)
In1 0.000 0.000 0.000
Cu1 0.500 0.500 0.000
Mo1 0.250 0.750 0.500
Mo2 0.750 0.250 0.500

=====

DFT (PBE-GGA) results for an optimized crystal structure of InCu2Mo.

Output
- Crystal system: trigonal
- Calculated formation energy: 0.42 eV per atom
- Space-group type: R-3m, No. 166

abc: 9.150 9.150 9.150
angles: 17.87 17.87 17.87
Element x y z (fractional)
In1 0.000 0.000 0.000
Cu1 0.247 0.247 0.247
Cu2 0.753 0.753 0.753
Mo1 0.500 0.500 0.500

=====

DFT (PBE-GGA) results for an optimized crystal structure of InCuMo2.

Output
- Crystal system: orthorhombic
- Calculated formation energy: 0.28 eV per atom
- Offset from the most stable computed form: 0.067 eV/atom
- Space-group type: Cmm2, No. 35

abc: 2.841 2.841 8.777
angles: 90.00 90.00 109.87
Element x y z (fractional)
In1 0.000 0.000 0.000
Cu1 0.500 0.500 0.253
Mo1 0.000 0.000 0.488
Mo2 0.500 0.500 0.723

=====

DFT (PBE-GGA) results for an optimized crystal structure of InCuMo2.

Output
- Crystal system: monoclinic
- Calculated formation energy: 0.26 eV per atom
- Offset from the most stable computed form: 0.046 eV/atom
- Space-group type: Pm, No. 6

abc: 2.810 4.382 5.392
angles: 90.00 97.67 90.00
Element x y z (fractional)
In1 0.000 0.000 0.000
Cu1 0.994 0.500 0.738
Mo1 0.400 0.000 0.509
Mo2 0.589 0.500 0.273

=====

DFT (PBE-GGA) results for an optimized crystal structure of In2CuMo.

Output
- Crystal system: tetragonal
- Calculated formation energy: 0.34 eV per atom
- Offset from the most stable computed form: 0.080 eV/atom
- Space-group type: I-4m2, No. 119

abc: 5.445 5.445 5.445
angles: 137.64 137.64 61.45
Element x y z (fractional)
In1 0.000 0.000 0.000
In2 0.750 0.250 0.500
Cu1 0.500 0.500 0.000
Mo1 0.250 0.750 0.500

=====

DFT (PBE-GGA) results for an optimized crystal structure of In4CuMo.

Output
- Crystal system: cubic
- Calculated formation energy: 0.83 eV per atom
- Space-group type: F-43m, No. 216

abc: 5.700 5.700 5.700
angles: 60.00 60.00 60.00
Element x y z (fractional)
In1 0.125 0.125 0.125
In2 0.125 0.125 0.625
In3 0.125 0.625 0.125
In4 0.625 0.125 0.125
Cu1 0.500 0.500 0.500
Mo1 0.750 0.750 0.750

=====

DFT (PBE-GGA) results for an optimized crystal structure of InCuMo2.

Output
- Crystal system: orthorhombic
- Calculated formation energy: 0.34 eV per atom
- Offset from the most stable computed form: 0.124 eV/atom
- Space-group type: Pmmm, No. 47

abc: 2.762 4.327 5.447
angles: 90.00 90.00 90.00
Element x y z (fractional)
In1 0.000 0.000 0.000
Cu1 0.000 0.000 0.500
Mo1 0.500 0.500 0.272
Mo2 0.500 0.500 0.728

=====

DFT (PBE-GGA) results for an optimized crystal structure of InCuMo2.

Output
- Crystal system: tetragonal
- Calculated formation energy: 0.21 eV per atom
- Offset from the most stable computed form: 0.000 eV/atom
- Space-group type: P4mm, No. 99

abc: 3.291 3.291 6.152
angles: 90.00 90.00 90.00
Element x y z (fractional)
In1 0.000 0.000 0.000
Cu1 0.500 0.500 0.761
Mo1 0.000 0.000 0.505
Mo2 0.500 0.500 0.312

=====

DFT (PBE-GGA) results for an optimized crystal structure of InCu2Mo.

Output
- Crystal system: tetragonal
- Calculated formation energy: 0.26 eV per atom
- Space-group type: P4/mmm, No. 123

abc: 3.987 3.987 3.848
angles: 90.00 90.00 90.00
Element x y z (fractional)
In1 0.000 0.000 0.000
Cu1 0.000 0.500 0.500
Cu2 0.500 0.000 0.500
Mo1 0.500 0.500 0.000

=====

DFT (PBE-GGA) results for an optimized crystal structure of InCuMo2.

Output
- Crystal system: trigonal
- Calculated formation energy: 0.43 eV per atom
- Offset from the most stable computed form: 0.215 eV/atom
- Space-group type: R3m, No. 160

abc: 9.481 9.481 9.481
angles: 17.40 17.40 17.40
Element x y z (fractional)
In1 0.000 0.000 0.000
Cu1 0.250 0.250 0.250
Mo1 0.505 0.505 0.505
Mo2 0.755 0.755 0.755

=====

DFT (PBE-GGA) results for an optimized crystal structure of InCu2Mo.

Output
- Crystal system: cubic
- Calculated formation energy: 0.45 eV per atom
- Space-group type: F-43m, No. 216

abc: 4.467 4.467 4.467
angles: 60.00 60.00 60.00
Element x y z (fractional)
In1 0.000 0.000 0.000
Cu1 0.500 0.500 0.500
Cu2 0.750 0.750 0.750
Mo1 0.250 0.250 0.250

=====

DFT (PBE-GGA) results for an optimized crystal structure of In2CuMo.

Output
- Crystal system: monoclinic
- Calculated formation energy: 0.41 eV per atom
- Offset from the most stable computed form: 0.146 eV/atom
- Space-group type: C2/m, No. 12

abc: 4.928 4.928 5.417
angles: 102.30 102.30 34.63
Element x y z (fractional)
In1 0.242 0.242 0.246
In2 0.758 0.758 0.754
Cu1 0.500 0.500 0.000
Mo1 0.000 0.000 0.500

=====

DFT (PBE-GGA) results for an optimized crystal structure of InCuMo2.

Output
- Crystal system: orthorhombic
- Calculated formation energy: 0.40 eV per atom
- Offset from the most stable computed form: 0.182 eV/atom
- Space-group type: Cmmm, No. 65

abc: 2.796 2.796 8.261
angles: 90.00 90.00 90.26
Element x y z (fractional)
In1 0.000 0.000 0.000
Cu1 0.000 0.000 0.500
Mo1 0.500 0.500 0.276
Mo2 0.500 0.500 0.724

=====

DFT (PBE-GGA) results for an optimized crystal structure of InCuMo2.

Output
- Crystal system: orthorhombic
- Calculated formation energy: 0.28 eV per atom
- Offset from the most stable computed form: 0.069 eV/atom
- Space-group type: Imm2, No. 44

abc: 5.085 5.085 5.085
angles: 140.83 126.62 68.18
Element x y z (fractional)
In1 0.000 0.000 0.000
Cu1 0.757 0.257 0.500
Mo1 0.276 0.776 0.500
Mo2 0.501 0.501 0.000

=====

DFT (PBE-GGA) results for an optimized crystal structure of In2CuMo.

Output
- Crystal system: orthorhombic
- Calculated formation energy: 0.34 eV per atom
- Offset from the most stable computed form: 0.079 eV/atom
- Space-group type: Pmmm, No. 47

abc: 3.014 3.817 6.228
angles: 90.00 90.00 90.00
Element x y z (fractional)
In1 0.000 0.000 0.242
In2 0.000 0.000 0.758
Cu1 0.500 0.500 0.000
Mo1 0.500 0.500 0.500

=====

DFT (PBE-GGA) results for an optimized crystal structure of In2CuMo.

Output
- Crystal system: orthorhombic
- Calculated formation energy: 0.37 eV per atom
- Offset from the most stable computed form: 0.112 eV/atom
- Space-group type: Cmmm, No. 65

abc: 2.964 2.964 8.722
angles: 90.00 90.00 107.87
Element x y z (fractional)
In1 0.000 0.000 0.240
In2 0.000 0.000 0.760
Cu1 0.500 0.500 0.000
Mo1 0.500 0.500 0.500

=====

DFT (PBE-GGA) results for an optimized crystal structure of InCuMo2.

Output
- Crystal system: orthorhombic
- Calculated formation energy: 0.36 eV per atom
- Offset from the most stable computed form: 0.142 eV/atom
- Space-group type: Cmmm, No. 65

abc: 5.162 5.162 2.756
angles: 90.00 90.00 117.75
Element x y z (fractional)
In1 0.000 0.000 0.000
Cu1 0.500 0.500 0.000
Mo1 0.000 0.500 0.500
Mo2 0.500 0.000 0.500

=====

DFT (PBE-GGA) results for an optimized crystal structure of In2CuMo.

Output
- Crystal system: tetragonal
- Calculated formation energy: 0.35 eV per atom
- Offset from the most stable computed form: 0.085 eV/atom
- Space-group type: P4mm, No. 99

abc: 2.922 2.922 8.884
angles: 90.00 90.00 90.00
Element x y z (fractional)
In1 0.000 0.000 0.000
In2 0.500 0.500 0.330
Cu1 0.500 0.500 0.770
Mo1 0.000 0.000 0.576